A plane-wave DFT calculation with GGA-PBE was carried out for a relaxed CsCa3Pa2N6 crystal.

* uncorrected formation energy: -1018 meV per atom

Geometry as CIF:
```
data_CsCa3Pa2N6
_chemical_formula_sum 'Cs2 Ca6 Pa4 N12'
_cell_length_a 17.980
_cell_length_b 3.573
_cell_length_c 6.974
_cell_angle_alpha 90.00
_cell_angle_beta 97.83
_cell_angle_gamma 90.00
_symmetry_space_group_name_H-M 'C 1 2/m 1'
_symmetry_Int_Tables_number 12
loop_
_symmetry_equiv_pos_as_xyz
'x,y,z'
'-x,-y,-z'
'-x,y,-z'
'x,-y,z'
'x+1/2,y+1/2,z'
'-x+1/2,-y+1/2,-z'
'-x+1/2,y+1/2,-z'
'x+1/2,-y+1/2,z'
loop_
_atom_site_label
_atom_site_type_symbol
_atom_site_fract_x
_atom_site_fract_y
_atom_site_fract_z
_atom_site_occupancy
Cs1 Cs 0.000 0.000 0.000 1
Ca1 Ca 0.000 0.000 0.500 1
Ca2 Ca 0.187 0.500 0.852 1
Pa1 Pa 0.174 0.500 0.349 1
N1 N 0.061 0.500 0.360 1
N2 N 0.181 0.000 0.125 1
N3 N 0.199 0.000 0.596 1
```

A plane-wave DFT calculation with GGA-PBE was carried out for a relaxed Os2RhCl crystal.

* excess energy over the best structure of this formula in the dataset: 0.495 eV/atom
* uncorrected formation energy: 930 meV per atom

Geometry as CIF:
```
data_Os2RhCl
_chemical_formula_sum 'Os4 Rh2 Cl2'
_cell_length_a 8.946
_cell_length_b 2.761
_cell_length_c 5.047
_cell_angle_alpha 90.00
_cell_angle_beta 105.74
_cell_angle_gamma 90.00
_symmetry_space_group_name_H-M 'C 1 2/m 1'
_symmetry_Int_Tables_number 12
loop_
_symmetry_equiv_pos_as_xyz
'x,y,z'
'-x,-y,-z'
'-x,y,-z'
'x,-y,z'
'x+1/2,y+1/2,z'
'-x+1/2,-y+1/2,-z'
'-x+1/2,y+1/2,-z'
'x+1/2,-y+1/2,z'
loop_
_atom_site_label
_atom_site_type_symbol
_atom_site_fract_x
_atom_site_fract_y
_atom_site_fract_z
_atom_site_occupancy
Os1 Os 0.236 0.000 0.270 1
Rh1 Rh 0.000 0.000 0.500 1
Cl1 Cl 0.000 0.500 0.000 1
```

A plane-wave DFT calculation with GGA-PBE was carried out for a relaxed GePSCl2 crystal.

* excess energy over the best structure of this formula in the dataset: 0.315 eV/atom
* uncorrected formation energy: 528 meV per atom

Geometry as CIF:
```
data_GePSCl2
_chemical_formula_sum 'Ge1 P1 S1 Cl2'
_cell_length_a 4.648
_cell_length_b 4.648
_cell_length_c 5.317
_cell_angle_alpha 90.00
_cell_angle_beta 90.00
_cell_angle_gamma 90.00
_symmetry_space_group_name_H-M 'P 4/m m m'
_symmetry_Int_Tables_number 123
_symmetry_space_group_name_Hall '-P 4 2'
loop_
_atom_site_label
_atom_site_type_symbol
_atom_site_fract_x
_atom_site_fract_y
_atom_site_fract_z
_atom_site_occupancy
Ge1 Ge 0.000 0.000 0.000 1
P1 P 0.000 0.000 0.500 1
S1 S 0.500 0.500 0.500 1
Cl1 Cl 0.000 0.500 0.000 1
```

A plane-wave DFT calculation with GGA-PBE was carried out for a relaxed Na2BAs crystal.

* excess energy over the best structure of this formula in the dataset: 0.130 eV/atom
* formation energy from the elements: 19.3 kcal/mol of atoms

Geometry as CIF:
```
data_Na2BAs
_chemical_formula_sum 'Na8 B4 As4'
_cell_length_a 3.820
_cell_length_b 3.820
_cell_length_c 19.496
_cell_angle_alpha 90.00
_cell_angle_beta 90.00
_cell_angle_gamma 90.00
_symmetry_space_group_name_H-M 'I -4 2 d'
_symmetry_Int_Tables_number 122
_symmetry_space_group_name_Hall 'I -4 2bw'
loop_
_atom_site_label
_atom_site_type_symbol
_atom_site_fract_x
_atom_site_fract_y
_atom_site_fract_z
_atom_site_occupancy
Na1 Na 0.235 0.250 0.125 1
B1 B 0.000 0.000 0.000 1
As1 As 0.000 0.000 0.500 1
```

A plane-wave DFT calculation with GGA-PBE was carried out for a relaxed HoLuCuSi crystal.

* uncorrected formation energy: -428 meV per atom

Geometry as CIF:
```
data_HoLuCuSi
_chemical_formula_sum 'Ho4 Lu4 Cu4 Si4'
_cell_length_a 6.876
_cell_length_b 6.876
_cell_length_c 6.876
_cell_angle_alpha 90.00
_cell_angle_beta 90.00
_cell_angle_gamma 90.00
_symmetry_space_group_name_H-M 'F -4 3 m'
_symmetry_Int_Tables_number 216
_symmetry_space_group_name_Hall 'F -4 2 3'
loop_
_atom_site_label
_atom_site_type_symbol
_atom_site_fract_x
_atom_site_fract_y
_atom_site_fract_z
_atom_site_occupancy
Ho1 Ho 0.000 0.000 0.000 1
Lu1 Lu 0.000 0.000 0.500 1
Cu1 Cu 0.250 0.250 0.750 1
Si1 Si 0.250 0.250 0.250 1
```

A plane-wave DFT calculation with GGA-PBE was carried out for a relaxed MgIn2PbCl6 crystal.

* uncorrected formation energy: -1205 meV per atom

Geometry as CIF:
```
data_MgIn2PbCl6
_chemical_formula_sum 'Mg1 In2 Pb1 Cl6'
_cell_length_a 7.494
_cell_length_b 7.498
_cell_length_c 7.499
_cell_angle_alpha 60.26
_cell_angle_beta 60.24
_cell_angle_gamma 60.28
_symmetry_space_group_name_H-M 'P 1'
_symmetry_Int_Tables_number 1
loop_
_symmetry_equiv_pos_as_xyz
'x,y,z'
loop_
_atom_site_label
_atom_site_type_symbol
_atom_site_fract_x
_atom_site_fract_y
_atom_site_fract_z
_atom_site_occupancy
Mg1 Mg 0.000 0.000 0.000 1
In1 In 0.275 0.274 0.274 1
In2 In 0.780 0.780 0.781 1
Pb1 Pb 0.500 0.500 0.500 1
Cl1 Cl 0.155 0.306 0.756 1
Cl2 Cl 0.212 0.842 0.688 1
Cl3 Cl 0.305 0.757 0.155 1
Cl4 Cl 0.688 0.211 0.842 1
Cl5 Cl 0.755 0.155 0.305 1
Cl6 Cl 0.843 0.687 0.210 1
```

A plane-wave DFT calculation with GGA-PBE was carried out for a relaxed PmEu2Sn crystal.

* excess energy over the best structure of this formula in the dataset: 0.000 eV/atom
* formation energy from the elements: -9.3 kcal/mol of atoms

Geometry as CIF:
```
data_PmEu2Sn
_chemical_formula_sum 'Pm1 Eu2 Sn1'
_cell_length_a 4.926
_cell_length_b 4.926
_cell_length_c 5.199
_cell_angle_alpha 90.00
_cell_angle_beta 90.00
_cell_angle_gamma 90.00
_symmetry_space_group_name_H-M 'P 4/m m m'
_symmetry_Int_Tables_number 123
_symmetry_space_group_name_Hall '-P 4 2'
loop_
_atom_site_label
_atom_site_type_symbol
_atom_site_fract_x
_atom_site_fract_y
_atom_site_fract_z
_atom_site_occupancy
Pm1 Pm 0.000 0.000 0.000 1
Eu1 Eu 0.000 0.500 0.500 1
Sn1 Sn 0.500 0.500 0.000 1
```

A plane-wave DFT calculation with GGA-PBE was carried out for a relaxed Pm3Ge6Pt2Rh crystal.

* formation energy from the elements: -10.9 kcal/mol of atoms

Geometry as CIF:
```
data_Pm3Ge6Pt2Rh
_chemical_formula_sum 'Pm3 Ge6 Pt2 Rh1'
_cell_length_a 5.9829
_cell_length_b 5.9829
_cell_length_c 8.0258
_cell_angle_alpha 90.00
_cell_angle_beta 90.00
_cell_angle_gamma 120.00
_symmetry_space_group_name_H-M 'P -3 m 1'
_symmetry_Int_Tables_number 164
_symmetry_space_group_name_Hall '-P 3 2"'
loop_
_atom_site_label
_atom_site_type_symbol
_atom_site_fract_x
_atom_site_fract_y
_atom_site_fract_z
_atom_site_occupancy
Pm1 Pm 0.0000 0.0000 0.0000 1
Pm2 Pm 0.3333 0.6667 0.6421 1
Ge1 Ge 0.1884 0.3767 0.2947 1
Pt1 Pt 0.3333 0.6667 0.0285 1
Rh1 Rh 0.0000 0.0000 0.5000 1
```

A plane-wave DFT calculation with GGA-PBE was carried out for a relaxed YTaO2 crystal.

* excess energy over the best structure of this formula in the dataset: 0.000 eV/atom
* uncorrected formation energy: -2306 meV per atom

Geometry as CIF:
```
data_YTaO2
_chemical_formula_sum 'Y3 Ta3 O6'
_cell_length_a 3.5163
_cell_length_b 3.5163
_cell_length_c 17.7973
_cell_angle_alpha 90.00
_cell_angle_beta 90.00
_cell_angle_gamma 120.00
_symmetry_space_group_name_H-M 'R -3 m'
_symmetry_Int_Tables_number 166
_symmetry_space_group_name_Hall '-R 3 2"'
loop_
_atom_site_label
_atom_site_type_symbol
_atom_site_fract_x
_atom_site_fract_y
_atom_site_fract_z
_atom_site_occupancy
Y1 Y 0.0000 0.0000 0.0000 1
Ta1 Ta 0.0000 0.0000 0.5000 1
O1 O 0.0000 0.0000 0.3893 1
```

A plane-wave DFT calculation with GGA-PBE was carried out for a relaxed Li3Cd2Cu crystal.

* formation energy from the elements: -3.0 kcal/mol of atoms

Geometry as CIF:
```
data_Li3Cd2Cu
_chemical_formula_sum 'Li12 Cd8 Cu4'
_cell_length_a 7.486
_cell_length_b 3.028
_cell_length_c 18.227
_cell_angle_alpha 90.00
_cell_angle_beta 90.00
_cell_angle_gamma 90.00
_symmetry_space_group_name_H-M 'P n m a'
_symmetry_Int_Tables_number 62
loop_
_symmetry_equiv_pos_as_xyz
'x,y,z'
'-x,-y,-z'
'-x+1/2,-y,z+1/2'
'x+1/2,y,-z+1/2'
'x+1/2,-y+1/2,-z+1/2'
'-x+1/2,y+1/2,z+1/2'
'-x,y+1/2,-z'
'x,-y+1/2,z'
loop_
_atom_site_label
_atom_site_type_symbol
_atom_site_fract_x
_atom_site_fract_y
_atom_site_fract_z
_atom_site_occupancy
Li1 Li 0.012 0.250 0.165 1
Li2 Li 0.145 0.750 0.042 1
Li3 Li 0.174 0.250 0.291 1
Cd1 Cd 0.144 0.250 0.677 1
Cd2 Cd 0.250 0.250 0.919 1
Cu1 Cu 0.053 0.750 0.553 1
```

A plane-wave DFT calculation with GGA-PBE was carried out for a relaxed Cd4InHgBi2 crystal.

* formation energy from the elements: 1.3 kcal/mol of atoms

Geometry as CIF:
```
data_Cd4InHgBi2
_chemical_formula_sum 'Cd4 In1 Hg1 Bi2'
_cell_length_a 5.503
_cell_length_b 4.892
_cell_length_c 8.037
_cell_angle_alpha 90.00
_cell_angle_beta 95.11
_cell_angle_gamma 90.00
_symmetry_space_group_name_H-M 'P 1 2/m 1'
_symmetry_Int_Tables_number 10
loop_
_symmetry_equiv_pos_as_xyz
'x,y,z'
'-x,-y,-z'
'-x,y,-z'
'x,-y,z'
loop_
_atom_site_label
_atom_site_type_symbol
_atom_site_fract_x
_atom_site_fract_y
_atom_site_fract_z
_atom_site_occupancy
Cd1 Cd 0.009 0.000 0.238 1
Cd2 Cd 0.487 0.500 0.251 1
In1 In 0.500 0.000 0.500 1
Hg1 Hg 0.000 0.500 0.000 1
Bi1 Bi 0.000 0.500 0.500 1
Bi2 Bi 0.500 0.000 0.000 1
```

A plane-wave DFT calculation with GGA-PBE was carried out for a relaxed Ac2CuAg crystal.

* formation energy from the elements: 8.2 kcal/mol of atoms

Geometry as CIF:
```
data_Ac2CuAg
_chemical_formula_sum 'Ac6 Cu3 Ag3'
_cell_length_a 3.9460
_cell_length_b 3.9460
_cell_length_c 31.4409
_cell_angle_alpha 90.00
_cell_angle_beta 90.00
_cell_angle_gamma 120.00
_symmetry_space_group_name_H-M 'R -3 m'
_symmetry_Int_Tables_number 166
_symmetry_space_group_name_Hall '-R 3 2"'
loop_
_atom_site_label
_atom_site_type_symbol
_atom_site_fract_x
_atom_site_fract_y
_atom_site_fract_z
_atom_site_occupancy
Ac1 Ac 0.0000 0.0000 0.1008 1
Cu1 Cu 0.0000 0.0000 0.5000 1
Ag1 Ag 0.0000 0.0000 0.0000 1
```

no.,E (eV for the cell shown),M_tot (μB per formula unit)
1,-176.0,0.00
2,-55.9,0.00
3,-15.2,0.40
4,-42.5,0.23
5,-81.3,0.00
6,-33.9,0.00
7,-30.9,14.76
8,-67.1,0.00
9,-112.4,0.00
10,-49.8,0.00
11,-14.0,0.00
12,-41.2,0.00